No. 1
GaReSe2N | PBE | optimized geometry

Cell lengths 5.1172, 5.1172, 3.7463 Å; angles 90.00, 90.00, 90.00 degrees
Last column: nearest neighbours and their distance in Å.
Space group P4/mmm (No. 123)
One atom of each set of equivalent atoms:
Ga 0.0000 0.0000 0.0000 x1  8 Se 3.17
Re 0.5000 0.5000 0.5000 x1  2 N 1.87
Se 0.0000 0.5000 0.5000 x2  2 Re 2.56
N 0.5000 0.5000 0.0000 x1  2 Re 1.87

Computed properties:
Formation energy from raw total energies ... 0.208 eV per atom
Theoretical density ... 7.24 g cm⁻³

=====

No. 2
Hf2ZrPd8 | PBE | optimized geometry

Cell lengths 14.4199, 4.0853, 6.6041 Å; angles 90.00, 108.71, 90.00 degrees
Last column: nearest neighbours and their distance in Å.
Space group C2/m (No. 12)
One atom of each set of equivalent atoms:
Hf 0.2191 0.0000 0.1639 x4  10 Pd 2.73-2.95
Zr 0.0000 0.5000 0.5000 x2  12 Pd 2.82-2.90
Pd 0.0399 0.0000 0.2265 x4  1 Hf 2.74, 9 Pd 2.84-3.05, 2 Zr 2.90
Pd 0.1008 0.5000 0.9506 x4  3 Hf 2.74-2.93, 7 Pd 2.85-3.05, 1 Zr 2.86
Pd 0.1436 0.0000 0.6933 x4  3 Hf 2.79-2.95, 7 Pd 2.85-2.96, 2 Zr 2.90
Pd 0.1786 0.5000 0.4100 x4  3 Hf 2.73-2.79, 1 Zr 2.82, 8 Pd 2.84-2.92

Computed properties:
Theoretical density ... 11.71 g cm⁻³
E ... -7.10 eV/atom

=====

no.,density of states at the Fermi level (states/eV/cell),total magnetic moment (μB/atom)
1,2.9,0.001
2,12.7,0.000